Record 1
# TaClF2 (PBE, optimized geometry)
data_TaClF2
_space_group_name_H-M_alt 'F m -3 m'
_space_group_IT_number 225
_space_group_name_Hall '-F 4 2 3'
_cell_length_a 5.8945
_cell_length_b 5.8945
_cell_length_c 5.8945
_cell_angle_alpha 90.00
_cell_angle_beta 90.00
_cell_angle_gamma 90.00
loop_
_atom_site_label
_atom_site_type_symbol
_atom_site_fract_x
_atom_site_fract_y
_atom_site_fract_z
_atom_site_occupancy
Ta1 Ta 0.0000 0.0000 0.0000 1
Cl1 Cl 0.0000 0.0000 0.5000 1
F1 F 0.2500 0.2500 0.2500 1
# Fermi-level density of states	13.2	states/eV per cell
# uncorrected energy	-5.1594	eV per atom
# total magnetic moment	7.65	Bohr magnetons per cell

***

Record 2
# ZnHg2Br (PBE, optimized geometry)
data_ZnHg2Br
_space_group_name_H-M_alt 'P 1 m 1'
_space_group_IT_number 6
_space_group_name_Hall 'P -2y'
_cell_length_a 3.8584
_cell_length_b 3.7060
_cell_length_c 8.1187
_cell_angle_alpha 90.00
_cell_angle_beta 99.67
_cell_angle_gamma 90.00
loop_
_atom_site_label
_atom_site_type_symbol
_atom_site_fract_x
_atom_site_fract_y
_atom_site_fract_z
_atom_site_occupancy
Zn1 Zn 0.0000 0.0000 0.0000 1
Hg1 Hg 0.4793 0.0000 0.4601 1
Hg2 Hg 0.8752 0.5000 0.2322 1
Br1 Br 0.1829 0.5000 0.8134 1
# Fermi-level density of states	0.5	states/eV per cell
# uncorrected energy	-1.0149	eV per atom
# total magnetic moment	0.00	Bohr magnetons per cell

***

Record 3
# PaCF (PBE, optimized geometry)
data_PaCF
_space_group_name_H-M_alt 'I 4 m m'
_space_group_IT_number 107
_space_group_name_Hall 'I 4 -2'
_cell_length_a 3.3909
_cell_length_b 3.3909
_cell_length_c 10.6090
_cell_angle_alpha 90.00
_cell_angle_beta 90.00
_cell_angle_gamma 90.00
loop_
_atom_site_label
_atom_site_type_symbol
_atom_site_fract_x
_atom_site_fract_y
_atom_site_fract_z
_atom_site_occupancy
Pa1 Pa 0.0000 0.0000 0.0000 1
C1 C 0.0000 0.0000 0.4914 1
F1 F 0.0000 0.0000 0.1981 1
# Fermi-level density of states	1.8	states/eV per cell
# uncorrected energy	-8.0256	eV per atom
# total magnetic moment	0.00	Bohr magnetons per cell

***

no.,formation energy from raw total energies (meV/atom)
1,-798.9
2,-127.3
3,-1161.9